28
Lattice="8.183 0.000 0.000 0.000 6.041 0.000 -3.031 0.000 7.534" Properties=species:S:1:pos:R:3 comment="Li2FeF4 (PBE+U, relaxed)" e_above_lowest_polymorph_mev_per_atom=46.7 pbc="T T T"
Li 0.113 0.572 1.673
Li -1.403 2.448 5.440
Li 2.902 0.505 0.177
Li 1.386 2.516 3.944
Li 3.766 3.525 3.589
Li 2.250 5.536 7.356
Li 6.555 3.592 2.094
Li 5.039 5.469 5.861
Fe 1.428 3.590 0.687
Fe -0.088 5.471 4.454
Fe 5.240 0.570 3.080
Fe 3.724 2.450 6.847
F -1.789 0.596 5.001
F -0.273 2.425 1.234
F -0.218 3.486 4.400
F 1.298 5.575 0.633
F 0.849 0.823 3.424
F -0.666 2.198 7.191
F 2.218 3.478 2.531
F 0.702 5.583 6.298
F 4.450 0.458 1.236
F 2.934 2.563 5.003
F 5.818 3.843 0.343
F 4.303 5.218 4.110
F 3.854 0.466 6.901
F 5.370 2.554 3.134
F 5.425 3.616 6.300
F 6.941 5.445 2.533